## AlSnAu2 (GGA-PBE)

Data for an optimized crystal structure of AlSnAu2.

a b c (Å): 3.3772 3.3772 24.5352
angles (deg): 90.00 90.00 120.00
Space group R-3m (No. 166, hexagonal axes)
One atom of each set of equivalent atoms:
Al: 0.0000 0.0000 0.0000 x3
Sn: 0.0000 0.0000 0.5000 x3
Au: 0.0000 0.0000 0.2601 x6

Output
- spin magnetization (μB per formula unit) = 0.000
- VASP energy (eV per atom) = -3.7865



## AlSnAu (GGA-PBE)

Data for an optimized crystal structure of AlSnAu.

a b c (Å): 4.741 4.717 5.925
angles (deg): 90.00 95.97 90.00
Space group P2_1 (No. 4)
One atom of each set of equivalent atoms:
Al: 0.149 0.000 0.076 x2
Sn: 0.205 0.242 0.545 x2
Au: 0.375 0.506 0.133 x2

Output
- spin magnetization (μB per formula unit) = 0.000
- VASP energy (eV per atom) = -3.8362



## Al2Sn2Au7 (GGA-PBE)

Data for an optimized crystal structure of Al2Sn2Au7.

a b c (Å): 5.534 6.391 6.912
angles (deg): 111.80 90.33 105.16
Space group P-1 (No. 2)
One atom of each set of equivalent atoms:
Al: 0.118 0.343 0.294 x2
Sn: 0.407 0.203 0.764 x2
Au: 0.000 0.500 0.000 x1
Au: 0.111 0.804 0.429 x2
Au: 0.238 0.973 0.056 x2
Au: 0.376 0.611 0.677 x2

Output
- spin magnetization (μB per formula unit) = 0.000
- VASP energy (eV per atom) = -3.6923